First-principles (PBE-GGA) data for MgAl2Cu after structural relaxation, as listed in Alexandria.

electronic total energy	-3.308	eV per atom
formation enthalpy at 0 K	-0.014	eV per atom
DOS(E_F)	0.28	states/eV/atom

```
data_MgAl2Cu
_chemical_formula_sum 'Mg1 Al2 Cu1'
_symmetry_space_group_name_H-M 'P 1 2/m 1'
_symmetry_Int_Tables_number 10
_cell_length_a 3.008
_cell_length_b 4.290
_cell_length_c 5.316
_cell_angle_alpha 90.00
_cell_angle_beta 103.19
_cell_angle_gamma 90.00
loop_
_symmetry_equiv_pos_as_xyz
'x,y,z'
'-x,-y,-z'
'-x,y,-z'
'x,-y,z'
loop_
_atom_site_label
_atom_site_type_symbol
_atom_site_fract_x
_atom_site_fract_y
_atom_site_fract_z
Mg1 Mg 0.000 0.000 0.000
Al1 Al 0.375 0.500 0.731
Cu1 Cu 0.500 0.000 0.500
```

First-principles (PBE-GGA) data for Mg2AlCu3 after structural relaxation, as listed in Alexandria.

electronic total energy	-3.439	eV per atom
formation enthalpy at 0 K	-0.236	eV per atom
DOS(E_F)	0.27	states/eV/atom

```
data_Mg2AlCu3
_chemical_formula_sum 'Mg4 Al2 Cu6'
_symmetry_space_group_name_H-M 'P 63/m m c'
_symmetry_Int_Tables_number 194
_symmetry_space_group_name_Hall '-P 6c 2c'
_cell_length_a 5.0666
_cell_length_b 5.0666
_cell_length_c 8.1143
_cell_angle_alpha 90.00
_cell_angle_beta 90.00
_cell_angle_gamma 120.00
loop_
_atom_site_label
_atom_site_type_symbol
_atom_site_fract_x
_atom_site_fract_y
_atom_site_fract_z
Mg1 Mg 0.3333 0.6667 0.0630
Al1 Al 0.0000 0.0000 0.0000
Cu1 Cu 0.1698 0.3395 0.7500
```

First-principles (PBE-GGA) data for MgAlCu after structural relaxation, as listed in Alexandria.

electronic total energy	-3.247	eV per atom
formation enthalpy at 0 K	-0.103	eV per atom
DOS(E_F)	0.58	states/eV/atom

```
data_MgAlCu
_chemical_formula_sum 'Mg18 Al18 Cu18'
_symmetry_space_group_name_H-M 'R -3 m'
_symmetry_Int_Tables_number 166
_symmetry_space_group_name_Hall '-R 3 2"'
_cell_length_a 5.2495
_cell_length_b 5.2495
_cell_length_c 36.7929
_cell_angle_alpha 90.00
_cell_angle_beta 90.00
_cell_angle_gamma 120.00
loop_
_atom_site_label
_atom_site_type_symbol
_atom_site_fract_x
_atom_site_fract_y
_atom_site_fract_z
Mg1 Mg 0.0000 0.0000 0.0386
Mg2 Mg 0.0000 0.0000 0.1817
Mg3 Mg 0.0000 0.0000 0.2691
Al1 Al 0.0012 0.5006 0.7770
Cu1 Cu 0.0000 0.0000 0.3885
Cu2 Cu 0.0000 0.0000 0.5000
Cu3 Cu 0.0000 0.5000 0.0000
```

First-principles (PBE-GGA) data for MgAlCu after structural relaxation, as listed in Alexandria.

electronic total energy	-3.241	eV per atom
formation enthalpy at 0 K	-0.097	eV per atom
DOS(E_F)	0.29	states/eV/atom

```
data_MgAlCu
_chemical_formula_sum 'Mg2 Al2 Cu2'
_symmetry_space_group_name_H-M 'P -1'
_symmetry_Int_Tables_number 2
_cell_length_a 4.303
_cell_length_b 4.864
_cell_length_c 5.321
_cell_angle_alpha 98.35
_cell_angle_beta 113.68
_cell_angle_gamma 90.27
loop_
_symmetry_equiv_pos_as_xyz
'x,y,z'
'-x,-y,-z'
loop_
_atom_site_label
_atom_site_type_symbol
_atom_site_fract_x
_atom_site_fract_y
_atom_site_fract_z
Mg1 Mg 0.109 0.301 0.219
Al1 Al 0.406 0.262 0.813
Cu1 Cu 0.221 0.845 0.442
```

First-principles (PBE-GGA) data for Mg5AlCu6 after structural relaxation, as listed in Alexandria.

electronic total energy	-3.158	eV per atom
formation enthalpy at 0 K	-0.134	eV per atom
DOS(E_F)	0.26	states/eV/atom

```
data_Mg5AlCu6
_chemical_formula_sum 'Mg10 Al2 Cu12'
_symmetry_space_group_name_H-M 'I m m m'
_symmetry_Int_Tables_number 71
_symmetry_space_group_name_Hall '-I 2 2'
_cell_length_a 4.414
_cell_length_b 6.299
_cell_length_c 13.111
_cell_angle_alpha 90.00
_cell_angle_beta 90.00
_cell_angle_gamma 90.00
loop_
_atom_site_label
_atom_site_type_symbol
_atom_site_fract_x
_atom_site_fract_y
_atom_site_fract_z
Mg1 Mg 0.000 0.000 0.000
Mg2 Mg 0.000 0.000 0.324
Mg3 Mg 0.000 0.500 0.337
Al1 Al 0.000 0.500 0.000
Cu1 Cu 0.000 0.221 0.500
Cu2 Cu 0.000 0.266 0.159
```

First-principles (PBE-GGA) data for Mg2AlCu after structural relaxation, as listed in Alexandria.

electronic total energy	-2.781	eV per atom
formation enthalpy at 0 K	-0.024	eV per atom
DOS(E_F)	0.27	states/eV/atom

```
data_Mg2AlCu
_chemical_formula_sum 'Mg2 Al1 Cu1'
_symmetry_space_group_name_H-M 'P 4/m m m'
_symmetry_Int_Tables_number 123
_symmetry_space_group_name_Hall '-P 4 2'
_cell_length_a 3.380
_cell_length_b 3.380
_cell_length_c 6.096
_cell_angle_alpha 90.00
_cell_angle_beta 90.00
_cell_angle_gamma 90.00
loop_
_atom_site_label
_atom_site_type_symbol
_atom_site_fract_x
_atom_site_fract_y
_atom_site_fract_z
Mg1 Mg 0.000 0.000 0.234
Al1 Al 0.500 0.500 0.500
Cu1 Cu 0.500 0.500 0.000
```

First-principles (PBE-GGA) data for MgAlCu after structural relaxation, as listed in Alexandria.

electronic total energy	-3.289	eV per atom
formation enthalpy at 0 K	-0.144	eV per atom
DOS(E_F)	0.23	states/eV/atom

```
data_MgAlCu
_chemical_formula_sum 'Mg8 Al8 Cu8'
_symmetry_space_group_name_H-M 'F m m m'
_symmetry_Int_Tables_number 69
_symmetry_space_group_name_Hall '-F 2 2'
_cell_length_a 4.976
_cell_length_b 8.548
_cell_length_c 9.104
_cell_angle_alpha 90.00
_cell_angle_beta 90.00
_cell_angle_gamma 90.00
loop_
_atom_site_label
_atom_site_type_symbol
_atom_site_fract_x
_atom_site_fract_y
_atom_site_fract_z
Mg1 Mg 0.000 0.166 0.000
Al1 Al 0.000 0.000 0.340
Cu1 Cu 0.250 0.250 0.250
```

First-principles (PBE-GGA) data for Mg4AlCu after structural relaxation, as listed in Alexandria.

electronic total energy	-2.065	eV per atom
formation enthalpy at 0 K	0.305	eV per atom
DOS(E_F)	0.27	states/eV/atom

```
data_Mg4AlCu
_chemical_formula_sum 'Mg16 Al4 Cu4'
_symmetry_space_group_name_H-M 'F -4 3 m'
_symmetry_Int_Tables_number 216
_symmetry_space_group_name_Hall 'F -4 2 3'
_cell_length_a 7.924
_cell_length_b 7.924
_cell_length_c 7.924
_cell_angle_alpha 90.00
_cell_angle_beta 90.00
_cell_angle_gamma 90.00
loop_
_atom_site_label
_atom_site_type_symbol
_atom_site_fract_x
_atom_site_fract_y
_atom_site_fract_z
Mg1 Mg 0.125 0.125 0.125
Al1 Al 0.250 0.250 0.750
Cu1 Cu 0.000 0.000 0.500
```

First-principles (PBE-GGA) data for MgAl2Cu after structural relaxation, as listed in Alexandria.

electronic total energy	-3.294	eV per atom
formation enthalpy at 0 K	0.000	eV per atom
DOS(E_F)	0.56	states/eV/atom

```
data_MgAl2Cu
_chemical_formula_sum 'Mg3 Al6 Cu3'
_symmetry_space_group_name_H-M 'R 3 m'
_symmetry_Int_Tables_number 160
_symmetry_space_group_name_Hall 'R 3 -2"'
_cell_length_a 2.9158
_cell_length_b 2.9158
_cell_length_c 26.7371
_cell_angle_alpha 90.00
_cell_angle_beta 90.00
_cell_angle_gamma 120.00
loop_
_atom_site_label
_atom_site_type_symbol
_atom_site_fract_x
_atom_site_fract_y
_atom_site_fract_z
Mg1 Mg 0.0000 0.0000 0.0000
Al1 Al 0.0000 0.0000 0.5110
Al2 Al 0.0000 0.0000 0.7592
Cu1 Cu 0.0000 0.0000 0.2507
```

First-principles (PBE-GGA) data for MgAl2Cu after structural relaxation, as listed in Alexandria.

electronic total energy	-3.333	eV per atom
formation enthalpy at 0 K	-0.040	eV per atom
DOS(E_F)	0.31	states/eV/atom

```
data_MgAl2Cu
_chemical_formula_sum 'Mg1 Al2 Cu1'
_symmetry_space_group_name_H-M 'P m m m'
_symmetry_Int_Tables_number 47
_cell_length_a 3.908
_cell_length_b 4.012
_cell_length_c 4.116
_cell_angle_alpha 90.00
_cell_angle_beta 90.00
_cell_angle_gamma 90.00
loop_
_symmetry_equiv_pos_as_xyz
'x,y,z'
'-x,-y,-z'
'-x,-y,z'
'x,y,-z'
'x,-y,-z'
'-x,y,z'
'-x,y,-z'
'x,-y,z'
loop_
_atom_site_label
_atom_site_type_symbol
_atom_site_fract_x
_atom_site_fract_y
_atom_site_fract_z
Mg1 Mg 0.000 0.000 0.000
Al1 Al 0.000 0.500 0.500
Al2 Al 0.500 0.000 0.500
Cu1 Cu 0.500 0.500 0.000
```

First-principles (PBE-GGA) data for MgAl2Cu after structural relaxation, as listed in Alexandria.

electronic total energy	-3.331	eV per atom
formation enthalpy at 0 K	-0.037	eV per atom
DOS(E_F)	0.22	states/eV/atom

```
data_MgAl2Cu
_chemical_formula_sum 'Mg2 Al4 Cu2'
_symmetry_space_group_name_H-M 'A m m 2'
_symmetry_Int_Tables_number 38
_cell_length_a 4.102
_cell_length_b 3.224
_cell_length_c 10.139
_cell_angle_alpha 90.00
_cell_angle_beta 90.00
_cell_angle_gamma 90.00
loop_
_symmetry_equiv_pos_as_xyz
'x,y,z'
'-x,-y,z'
'-x,y,z'
'x,-y,z'
'x,y+1/2,z+1/2'
'-x,-y+1/2,z+1/2'
'-x,y+1/2,z+1/2'
'x,-y+1/2,z+1/2'
loop_
_atom_site_label
_atom_site_type_symbol
_atom_site_fract_x
_atom_site_fract_y
_atom_site_fract_z
Mg1 Mg 0.000 0.000 0.000
Al1 Al 0.000 0.000 0.269
Al2 Al 0.500 0.000 0.670
Cu1 Cu 0.500 0.000 0.407
```

First-principles (PBE-GGA) data for MgAl2Cu after structural relaxation, as listed in Alexandria.

electronic total energy	-3.375	eV per atom
formation enthalpy at 0 K	-0.081	eV per atom
DOS(E_F)	0.37	states/eV/atom

```
data_MgAl2Cu
_chemical_formula_sum 'Mg3 Al6 Cu3'
_symmetry_space_group_name_H-M 'R 3 m'
_symmetry_Int_Tables_number 160
_symmetry_space_group_name_Hall 'R 3 -2"'
_cell_length_a 4.2093
_cell_length_b 4.2093
_cell_length_c 13.7219
_cell_angle_alpha 90.00
_cell_angle_beta 90.00
_cell_angle_gamma 120.00
loop_
_atom_site_label
_atom_site_type_symbol
_atom_site_fract_x
_atom_site_fract_y
_atom_site_fract_z
Mg1 Mg 0.0000 0.0000 0.0000
Al1 Al 0.0000 0.0000 0.5581
Al2 Al 0.0000 0.0000 0.7873
Cu1 Cu 0.0000 0.0000 0.1911
```